1.
The following is a PBE calculation of an optimized crystal structure of ScUPt2, from the Alexandria database.

Cell: 6.637 6.637 6.637 Å, 35.23 35.23 35.23°
Atoms (fractional coordinates):
Sc: 0.000 0.000 0.000
U: 0.500 0.500 0.500
Pt: 0.254 0.254 0.254
Pt: 0.746 0.746 0.746

E_tot ... -8.19 eV per atom
Symmetry ... R-3m, No. 166

2.
The following is a PBE calculation of an optimized crystal structure of La2Dy3Tm2, from the Alexandria database.

Cell: 6.164 6.164 10.769 Å, 95.17 95.17 33.94°
Atoms (fractional coordinates):
La: 0.215 0.215 0.354
La: 0.785 0.785 0.646
Dy: 0.358 0.358 0.932
Dy: 0.500 0.500 0.500
Dy: 0.642 0.642 0.068
Tm: 0.070 0.070 0.790
Tm: 0.930 0.930 0.210

Symmetry ... C2/m, No. 12
Offset from the most stable computed form ... 0.0 meV/atom

3.
The following is a PBE calculation of an optimized crystal structure of KOs3C, from the Alexandria database.

Cell: 4.585 4.585 4.585 Å, 90.00 90.00 90.00°
Atoms (fractional coordinates):
K: 0.000 0.000 0.000
Os: 0.000 0.000 0.500
Os: 0.000 0.500 0.000
Os: 0.500 0.000 0.000
C: 0.500 0.500 0.500

Symmetry ... Pm-3m, No. 221
Offset from the most stable computed form ... 3866.1 meV/atom

4.
The following is a PBE calculation of an optimized crystal structure of AgSb3Pb, from the Alexandria database.

Cell: 5.414 5.414 5.414 Å, 90.00 90.00 90.00°
Atoms (fractional coordinates):
Ag: 0.000 0.000 0.000
Sb: 0.000 0.000 0.500
Sb: 0.000 0.500 0.000
Sb: 0.500 0.000 0.000
Pb: 0.500 0.500 0.500

Symmetry ... Pm-3m, No. 221
Offset from the most stable computed form ... 0.0 meV/atom
Formation energy from raw total energies ... 0.51 eV/atom

5.
The following is a PBE calculation of an optimized crystal structure of Ca2Si2As, from the Alexandria database.

Cell: 6.309 6.309 6.309 Å, 132.23 132.23 69.87°
Atoms (fractional coordinates):
Ca: 0.250 0.750 0.500
Ca: 0.750 0.250 0.500
Si: 0.105 0.105 0.000
Si: 0.895 0.895 0.000
As: 0.500 0.500 0.000

Symmetry ... I4/mmm, No. 139
Offset from the most stable computed form ... 582.1 meV/atom
Formation energy from raw total energies ... 0.13 eV/atom

6.
The following is a PBE calculation of an optimized crystal structure of RbReIrO6, from the Alexandria database.

Cell: 5.363 5.363 6.201 Å, 90.00 90.00 120.00°
Atoms (fractional coordinates):
Rb: 0.000 0.000 0.000
Re: 0.333 0.667 0.500
Ir: 0.667 0.333 0.500
O: 0.011 0.397 0.669
O: 0.011 0.614 0.331
O: 0.386 0.397 0.331
O: 0.386 0.989 0.669
O: 0.603 0.614 0.669
O: 0.603 0.989 0.331

Symmetry ... P312, No. 149
Formation energy from raw total energies ... -1.30 eV/atom

7.
The following is a PBE calculation of an optimized crystal structure of YCuSnPb2, from the Alexandria database.

Cell: 5.277 5.277 5.086 Å, 90.00 90.00 90.00°
Atoms (fractional coordinates):
Y: 0.000 0.000 0.000
Cu: 0.500 0.500 0.500
Sn: 0.500 0.500 0.000
Pb: 0.000 0.500 0.500
Pb: 0.500 0.000 0.500

E_tot ... -4.29 eV per atom
Symmetry ... P4/mmm, No. 123

8.
The following is a PBE calculation of an optimized crystal structure of InTeH2, from the Alexandria database.

Cell: 7.447 7.447 7.447 Å, 142.80 142.80 53.62°
Atoms (fractional coordinates):
In: 0.000 0.000 0.000
In: 0.750 0.250 0.500
Te: 0.250 0.750 0.500
Te: 0.500 0.500 0.000
H: 0.276 0.125 0.651
H: 0.375 0.724 0.849
H: 0.474 0.625 0.349
H: 0.875 0.526 0.151

Symmetry ... I-42d, No. 122
Offset from the most stable computed form ... 422.9 meV/atom

9.
The following is a PBE calculation of an optimized crystal structure of Sr5Ca4Mg, from the Alexandria database.

Cell: 4.180 4.180 26.320 Å, 90.00 90.00 90.00°
Atoms (fractional coordinates):
Sr: 0.000 0.000 0.000
Sr: 0.000 0.000 0.210
Sr: 0.000 0.000 0.422
Sr: 0.000 0.000 0.578
Sr: 0.000 0.000 0.790
Ca: 0.500 0.500 0.105
Ca: 0.500 0.500 0.316
Ca: 0.500 0.500 0.684
Ca: 0.500 0.500 0.895
Mg: 0.500 0.500 0.500

E_tot ... -1.80 eV per atom
Symmetry ... P4/mmm, No. 123

10.
The following is a PBE calculation of an optimized crystal structure of KNa4Pd, from the Alexandria database.

Cell: 10.380 10.380 6.094 Å, 106.67 106.67 45.50°
Atoms (fractional coordinates):
K: 0.212 0.212 0.211
K: 0.788 0.788 0.789
Na: 0.160 0.651 0.407
Na: 0.204 0.796 0.000
Na: 0.349 0.840 0.593
Na: 0.365 0.365 0.867
Na: 0.635 0.635 0.133
Na: 0.651 0.160 0.407
Na: 0.796 0.204 0.000
Na: 0.840 0.349 0.593
Pd: 0.500 0.500 0.270
Pd: 0.500 0.500 0.730

E_tot ... -1.95 eV per atom
Symmetry ... C2/m, No. 12

11.
The following is a PBE calculation of an optimized crystal structure of P5Pt, from the Alexandria database.

Cell: 4.808 4.808 4.854 Å, 90.00 90.00 120.00°
Atoms (fractional coordinates):
P: 0.000 0.734 0.000
P: 0.266 0.266 0.000
P: 0.333 0.667 0.500
P: 0.667 0.333 0.500
P: 0.734 0.000 0.000
Pt: 0.000 0.000 0.500

Symmetry ... P-62m, No. 189
Offset from the most stable computed form ... 642.1 meV/atom

12.
The following is a PBE calculation of an optimized crystal structure of NaCa2OsPb, from the Alexandria database.

Cell: 6.010 6.010 5.750 Å, 90.00 90.00 90.00°
Atoms (fractional coordinates):
Na: 0.000 0.000 0.000
Ca: 0.000 0.500 0.000
Ca: 0.500 0.000 0.000
Os: 0.000 0.000 0.500
Pb: 0.500 0.500 0.500

E_tot ... -2.69 eV per atom
Symmetry ... P4/mmm, No. 123

13.
The following is a PBE calculation of an optimized crystal structure of SbAs3Se6, from the Alexandria database.

Cell: 11.702 3.857 12.610 Å, 90.00 106.57 90.00°
Atoms (fractional coordinates):
Sb: 0.165 0.250 0.469
Sb: 0.835 0.750 0.531
As: 0.089 0.750 0.848
As: 0.365 0.250 0.947
As: 0.416 0.750 0.372
As: 0.584 0.250 0.628
As: 0.635 0.750 0.053
As: 0.911 0.250 0.152
Se: 0.011 0.750 0.367
Se: 0.138 0.250 0.986
Se: 0.258 0.250 0.296
Se: 0.269 0.750 0.790
Se: 0.392 0.750 0.557
Se: 0.434 0.750 0.100
Se: 0.566 0.250 0.900
Se: 0.608 0.250 0.443
Se: 0.731 0.250 0.210
Se: 0.742 0.750 0.704
Se: 0.862 0.750 0.014
Se: 0.989 0.250 0.633

Symmetry ... P2_1/m, No. 11
Formation energy from raw total energies ... -0.15 eV/atom

14.
The following is a PBE calculation of an optimized crystal structure of K2Na5Si4, from the Alexandria database.

Cell: 7.714 7.714 9.181 Å, 119.12 119.12 51.44°
Atoms (fractional coordinates):
K: 0.239 0.239 0.109
K: 0.761 0.761 0.891
Na: 0.129 0.643 0.603
Na: 0.357 0.871 0.397
Na: 0.500 0.500 0.000
Na: 0.643 0.129 0.603
Na: 0.871 0.357 0.397
Si: 0.078 0.078 0.651
Si: 0.267 0.267 0.732
Si: 0.733 0.733 0.268
Si: 0.922 0.922 0.349

Symmetry ... C2/m, No. 12
Formation energy from raw total energies ... 0.09 eV/atom

15.
The following is a PBE calculation of an optimized crystal structure of CaNd5Cd4, from the Alexandria database.

Cell: 3.895 3.895 20.192 Å, 90.00 90.00 90.00°
Atoms (fractional coordinates):
Ca: 0.000 0.000 0.000
Nd: 0.500 0.500 0.128
Nd: 0.500 0.500 0.312
Nd: 0.500 0.500 0.500
Nd: 0.500 0.500 0.688
Nd: 0.500 0.500 0.872
Cd: 0.000 0.000 0.217
Cd: 0.000 0.000 0.406
Cd: 0.000 0.000 0.594
Cd: 0.000 0.000 0.783

E_tot ... -3.18 eV per atom
Symmetry ... P4/mmm, No. 123

16.
The following is a PBE calculation of an optimized crystal structure of Cd2SiSb2, from the Alexandria database.

Cell: 7.823 7.823 4.248 Å, 90.00 90.00 90.00°
Atoms (fractional coordinates):
Cd: 0.131 0.369 0.000
Cd: 0.369 0.869 0.000
Cd: 0.631 0.131 0.000
Cd: 0.869 0.631 0.000
Si: 0.000 0.000 0.500
Si: 0.500 0.500 0.500
Sb: 0.186 0.686 0.500
Sb: 0.314 0.186 0.500
Sb: 0.686 0.814 0.500
Sb: 0.814 0.314 0.500

Symmetry ... P4/mbm, No. 127
Formation energy from raw total energies ... 0.35 eV/atom

17.
The following is a PBE calculation of an optimized crystal structure of ZrTa2B, from the Alexandria database.

Cell: 5.851 5.851 5.851 Å, 100.18 100.18 130.29°
Atoms (fractional coordinates):
Zr: 0.000 0.000 0.000
Zr: 0.750 0.250 0.500
Ta: 0.219 0.625 0.094
Ta: 0.375 0.469 0.594
Ta: 0.531 0.125 0.906
Ta: 0.875 0.781 0.406
B: 0.250 0.750 0.500
B: 0.500 0.500 0.000

E_tot ... -9.52 eV per atom
Symmetry ... I-42d, No. 122

18.
The following is a PBE calculation of an optimized crystal structure of Li2InHg9, from the Alexandria database.

Cell: 9.863 9.863 3.458 Å, 90.00 90.00 120.00°
Atoms (fractional coordinates):
Li: 0.333 0.667 0.000
Li: 0.667 0.333 0.000
In: 0.000 0.000 0.000
Hg: 0.000 0.500 0.000
Hg: 0.183 0.365 0.500
Hg: 0.183 0.817 0.500
Hg: 0.365 0.183 0.500
Hg: 0.500 0.000 0.000
Hg: 0.500 0.500 0.000
Hg: 0.635 0.817 0.500
Hg: 0.817 0.183 0.500
Hg: 0.817 0.635 0.500

Symmetry ... P6/mmm, No. 191
Offset from the most stable computed form ... 19.5 meV/atom

19.
The following is a PBE calculation of an optimized crystal structure of MgZnRh2, from the Alexandria database.

Cell: 5.570 5.570 5.570 Å, 104.02 104.02 121.04°
Atoms (fractional coordinates):
Mg: 0.000 0.000 0.000
Mg: 0.750 0.250 0.500
Zn: 0.250 0.750 0.500
Zn: 0.500 0.500 0.000
Rh: 0.141 0.625 0.016
Rh: 0.375 0.391 0.516
Rh: 0.609 0.125 0.984
Rh: 0.875 0.859 0.484

E_tot ... -4.36 eV per atom
Symmetry ... I-42d, No. 122

20.
The following is a PBE calculation of an optimized crystal structure of Cr3Fe, from the Alexandria database.

Cell: 2.453 2.453 7.579 Å, 90.00 90.00 90.00°
Atoms (fractional coordinates):
Cr: 0.000 0.000 0.000
Cr: 0.500 0.500 0.270
Cr: 0.500 0.500 0.730
Fe: 0.000 0.000 0.500

E_tot ... -9.14 eV per atom
Symmetry ... P4/mmm, No. 123

Number 1: total magnetization 0.492 μB/atom. Number 2: total magnetization 0.000 μB/atom. Number 3: total magnetization 0.398 μB/atom. Number 4: total magnetization 0.000 μB/atom. Number 5: total magnetization 0.000 μB/atom. Number 6: total magnetization 0.100 μB/atom. Number 7: total magnetization 0.000 μB/atom. Number 8: total magnetization 0.000 μB/atom. Number 9: total magnetization 0.000 μB/atom. Number 10: total magnetization 0.000 μB/atom. Number 11: total magnetization 0.000 μB/atom. Number 12: total magnetization 0.394 μB/atom. Number 13: total magnetization 0.000 μB/atom. Number 14: total magnetization 0.000 μB/atom. Number 15: total magnetization 0.132 μB/atom. Number 16: total magnetization 0.000 μB/atom. Number 17: total magnetization 0.000 μB/atom. Number 18: total magnetization 0.000 μB/atom. Number 19: total magnetization 0.000 μB/atom. Number 20: total magnetization 0.001 μB/atom.